Material: NiSb2Cl
Method: DFT, GGA-PBE
State: relaxed

E_form (uncorrected), meV per atom: 230
Energy relative to the lowest polymorph listed for this composition, meV/atom: 532
Space group: Fm-3m, No. 225
N(E_F), states/eV per cell: 2.82

a b c (Å): 4.8347 4.8347 4.8347
angles (deg): 60.00 60.00 60.00
With the nearest neighbours (Å) after each atom.
Fractional positions:
Ni (0.0000, 0.0000, 0.0000)  8 Sb 2.96
Sb (0.2500, 0.2500, 0.2500)  4 Cl 2.96, 4 Ni 2.96
Sb (0.7500, 0.7500, 0.7500)  4 Cl 2.96, 4 Ni 2.96
Cl (0.5000, 0.5000, 0.5000)  8 Sb 2.96

=====

Material: Ce2CN4
Method: DFT, GGA-PBE
State: relaxed

E_form (uncorrected), meV per atom: -967
Space group: I4/mmm, No. 139

a b c (Å): 8.0437 8.0437 8.0437
angles (deg): 152.94 152.94 38.65
With the nearest neighbours (Å) after each atom.
Fractional positions:
Ce (0.1693, 0.1693, 0.0000)  4 N 2.25
Ce (0.8307, 0.8307, 0.0000)  4 N 2.25
C (0.5000, 0.5000, 0.0000)  2 N 1.24
N (0.2500, 0.7500, 0.5000)  4 Ce 2.25
N (0.4180, 0.4180, 0.0000)  1 C 1.24
N (0.5820, 0.5820, 0.0000)  1 C 1.24
N (0.7500, 0.2500, 0.5000)  4 Ce 2.25

=====

no.,magnetic moment (μB per formula unit)
1,0.0
2,0.0